Compound: Hf2Te2O5
Source: the Open Quantum Materials Database
Functional: PBE
Structure: optimized geometry

POSCAR file:
```
Hf2Te2O5
1.0
3.5304 0.0000 0.0000
0.0000 3.5304 0.0000
0.0000 0.0000 9.0857
Hf Te O
2 2 5
Cartesian
0.0000 0.0000 0.0000
0.0000 0.0000 4.5428
1.7652 1.7652 1.7378
1.7652 1.7652 7.3479
0.0000 1.7652 2.9997
0.0000 1.7652 6.0860
1.7652 0.0000 2.9997
1.7652 0.0000 6.0860
1.7652 1.7652 4.5428
```

Output
- E (Ry per atom) = -0.482
- space-group type = P4/mmm, No. 123
- excess energy over the best structure of this formula in the dataset (eV per atom) = 0.9092